1.
DFT (PBE-GGA) results for crystalline TaHOsRh2 at its relaxed geometry.

POSCAR file:
```
TaHOsRh2
1.0
3.9178 0.0000 0.0000
0.0000 3.9178 0.0000
0.0000 0.0000 4.0247
Os Rh Ta H
1 2 1 1
direct
0.0000 0.0000 0.5000
0.5000 0.0000 0.0000
0.0000 0.5000 0.0000
0.5000 0.5000 0.5000
0.0000 0.0000 0.0000
```

Energy above the lowest structure with this stoichiometry, kJ/mol of atoms: 0.0
Symmetry: P4/mmm (123)

2.
DFT (PBE-GGA) results for crystalline Tc2HOsRh at its relaxed geometry.

POSCAR file:
```
Tc2HOsRh
1.0
3.9131 0.0000 0.0000
0.0000 3.9131 0.0000
0.0000 0.0000 3.8828
Os Tc H Rh
1 2 1 1
direct
0.5000 0.5000 0.5000
0.0000 0.5000 0.0000
0.5000 0.0000 0.0000
0.0000 0.0000 0.0000
0.0000 0.0000 0.5000
```

Energy above the lowest structure with this stoichiometry, kJ/mol of atoms: 0.0
Symmetry: P4/mmm (123)

3.
DFT (PBE-GGA) results for crystalline Tc2HOsRh at its relaxed geometry.

POSCAR file:
```
Tc2HOsRh
1.0
3.9079 0.0000 0.0000
0.0000 3.9079 0.0000
0.0000 0.0000 3.8998
Os Tc Rh H
1 2 1 1
direct
0.0000 0.0000 0.5000
0.0000 0.5000 0.0000
0.5000 0.0000 0.0000
0.5000 0.5000 0.5000
0.0000 0.0000 0.0000
```

Energy above the lowest structure with this stoichiometry, kJ/mol of atoms: 2.1
Symmetry: P4/mmm (123)

4.
DFT (PBE-GGA) results for crystalline TeH2OsRh at its relaxed geometry.

POSCAR file:
```
TeH2OsRh
1.0
-1.4051 -2.2152 -2.6413
4.2428 0.3987 -2.5915
1.3621 -2.9769 1.7721
Te H Os Rh
1 2 1 1
direct
0.5000 0.5000 0.5000
0.0000 0.0000 0.5000
0.5000 0.0000 0.0000
0.0000 0.0000 0.0000
0.0000 0.5000 0.0000
```

Symmetry: P4/mmm (123)
Total energy, eV/f.u.: -25.152